Record 1
A plane-wave DFT calculation with PBE-GGA was carried out for a geometry-optimized KNa2SnSe4 structure.

Calculated values
Final energy: -0.2480 Ry per atom
Energy relative to the elements, uncorrected: -5.32 eV per formula unit
DOS(E_F): 0.199 states/eV per atom
Magnetization: 0.8 μB per formula unit

CIF file:
```
data_KNa2SnSe4
_space_group_name_H-M_alt 'I m m a'
_space_group_IT_number 74
_space_group_name_Hall '-I 2b 2'
_cell_length_a 7.764
_cell_length_b 9.351
_cell_length_c 12.314
_cell_angle_alpha 90.00
_cell_angle_beta 90.00
_cell_angle_gamma 90.00
loop_
_atom_site_label
_atom_site_type_symbol
_atom_site_fract_x
_atom_site_fract_y
_atom_site_fract_z
K1 K 0.000 0.000 0.000
Na1 Na 0.000 0.000 0.500
Na2 Na 0.250 0.250 0.250
Sn1 Sn 0.250 0.250 0.750
Se1 Se 0.000 0.039 0.748
Se2 Se 0.211 0.250 0.522
```


Record 2
A plane-wave DFT calculation with PBE-GGA was carried out for a geometry-optimized K3NaSn3Se8 structure.

Calculated values
Final energy: -0.2755 Ry per atom
Energy relative to the elements, uncorrected: -11.73 eV per formula unit
Magnetization: 0.0 μB per formula unit

CIF file:
```
data_K3NaSn3Se8
_space_group_name_H-M_alt 'P 4/n b m'
_space_group_IT_number 125
_cell_length_a 8.339
_cell_length_b 8.339
_cell_length_c 13.910
_cell_angle_alpha 90.00
_cell_angle_beta 90.00
_cell_angle_gamma 90.00
loop_
_space_group_symop_operation_xyz
'x,y,z'
'-x,-y,-z'
'-y+1/2,x,z'
'y+1/2,-x,-z'
'-x+1/2,-y+1/2,z'
'x+1/2,y+1/2,-z'
'y,-x+1/2,z'
'-y,x+1/2,-z'
'x,-y+1/2,-z'
'-x,y+1/2,z'
'-y+1/2,-x+1/2,-z'
'y+1/2,x+1/2,z'
'-x+1/2,y,-z'
'x+1/2,-y,z'
'y,x,-z'
'-y,-x,z'
loop_
_atom_site_label
_atom_site_type_symbol
_atom_site_fract_x
_atom_site_fract_y
_atom_site_fract_z
K1 K 0.250 0.250 0.000
K2 K 0.250 0.250 0.278
Na1 Na 0.250 0.750 0.000
Sn1 Sn 0.250 0.750 0.245
Sn2 Sn 0.250 0.750 0.500
Se1 Se 0.070 0.570 0.147
Se2 Se 0.087 0.587 0.624
```


Question: Which of these has the lowest energy relative to the elements, uncorrected?
Answer: K3NaSn3Se8


Question: What is the formula in the first record?
Answer: KNa2SnSe4


Question: Which formula does entry 2 have?
Answer: K3NaSn3Se8


What did the first record say?
A plane-wave DFT calculation with PBE-GGA was carried out for a geometry-optimized KNa2SnSe4 structure.

Calculated values
Final energy: -0.2480 Ry per atom
Energy relative to the elements, uncorrected: -5.32 eV per formula unit
DOS(E_F): 0.199 states/eV per atom
Magnetization: 0.8 μB per formula unit

CIF file:
```
data_KNa2SnSe4
_space_group_name_H-M_alt 'I m m a'
_space_group_IT_number 74
_space_group_name_Hall '-I 2b 2'
_cell_length_a 7.764
_cell_length_b 9.351
_cell_length_c 12.314
_cell_angle_alpha 90.00
_cell_angle_beta 90.00
_cell_angle_gamma 90.00
loop_
_atom_site_label
_atom_site_type_symbol
_atom_site_fract_x
_atom_site_fract_y
_atom_site_fract_z
K1 K 0.000 0.000 0.000
Na1 Na 0.000 0.000 0.500
Na2 Na 0.250 0.250 0.250
Sn1 Sn 0.250 0.250 0.750
Se1 Se 0.000 0.039 0.748
Se2 Se 0.211 0.250 0.522
```